Density functional theory data (PBE) for a relaxed BaZrO3 crystal.

a = 6.6626 Å, b = 6.6626 Å, c = 6.6626 Å
α = 52.00°, β = 52.00°, γ = 52.00°
Closest atoms and distances in Å follow each position.
Fractional coordinates of all 10 atoms:
1 Ba 0.1292 0.1292 0.1292  6 O 2.63-2.85
2 Ba 0.8708 0.8708 0.8708  6 O 2.63-2.85
3 Zr 0.3431 0.3431 0.3431  6 O 2.10-2.20
4 Zr 0.6569 0.6569 0.6569  6 O 2.10-2.20
5 O 0.0594 0.6605 0.4934  2 Zr 2.10-2.20
6 O 0.3395 0.5066 0.9406  2 Zr 2.10-2.20
7 O 0.4934 0.0594 0.6605  2 Zr 2.10-2.20
8 O 0.5066 0.9406 0.3395  2 Zr 2.10-2.20
9 O 0.6605 0.4934 0.0594  2 Zr 2.10-2.20
10 O 0.9406 0.3395 0.5066  2 Zr 2.10-2.20

Spin magnetization (μB/atom): 0.000
Space group: No. 148
Uncorrected formation energy (eV/atom): -3.123



Density functional theory data (PBE) for a relaxed Ba3ZrO5 crystal.

a = 8.2236 Å, b = 8.2236 Å, c = 8.2236 Å
α = 125.98°, β = 125.98°, γ = 79.93°
Closest atoms and distances in Å follow each position.
Fractional coordinates of all 18 atoms:
1 Ba 0.1842 0.6842 0.8683  4 O 2.63-2.73
2 Ba 0.2500 0.2500 0.0000  10 O 3.10-3.15
3 Ba 0.3158 0.1842 0.5000  4 O 2.63-2.73
4 Ba 0.6842 0.8158 0.5000  4 O 2.63-2.73
5 Ba 0.7500 0.7500 0.0000  10 O 3.10-3.15
6 Ba 0.8158 0.3158 0.1317  4 O 2.63-2.73
7 Zr 0.2500 0.7500 0.5000  4 O 1.98
8 Zr 0.7500 0.2500 0.5000  4 O 1.98
9 O 0.0000 0.0000 0.0000  4 Ba 2.73
10 O 0.0055 0.8022 0.5000  1 Zr 1.98
11 O 0.1978 0.6978 0.2033  1 Zr 1.98
12 O 0.3022 0.5055 0.5000  1 Zr 1.98
13 O 0.4945 0.9945 0.7967  1 Zr 1.98
14 O 0.5000 0.5000 0.0000  4 Ba 2.73
15 O 0.5055 0.0055 0.2033  1 Zr 1.98
16 O 0.6978 0.4945 0.5000  1 Zr 1.98
17 O 0.8022 0.3022 0.7967  1 Zr 1.98
18 O 0.9945 0.1978 0.5000  1 Zr 1.98

Spin magnetization (μB/atom): 0.000
Space group: No. 140
Uncorrected formation energy (eV/atom): -2.790



Density functional theory data (PBE) for a relaxed BaZr4O8 crystal.

a = 7.5089 Å, b = 7.5089 Å, c = 7.5089 Å
α = 51.11°, β = 51.11°, γ = 51.11°
Closest atoms and distances in Å follow each position.
Fractional coordinates of all 13 atoms:
1 Ba 0.0000 0.0000 0.0000  6 O 2.78
2 Zr 0.0000 0.0000 0.5000  6 O 2.13-2.18
3 Zr 0.0000 0.5000 0.0000  6 O 2.13-2.18
4 Zr 0.5000 0.0000 0.0000  6 O 2.13-2.18
5 Zr 0.5000 0.5000 0.5000  6 O 2.24
6 O 0.2178 0.7297 0.7297  3 Zr 2.18-2.24
7 O 0.2194 0.2194 0.2194  3 Zr 2.13
8 O 0.2703 0.2703 0.7822  3 Zr 2.18-2.24
9 O 0.2703 0.7822 0.2703  3 Zr 2.18-2.24
10 O 0.7297 0.2178 0.7297  3 Zr 2.18-2.24
11 O 0.7297 0.7297 0.2178  3 Zr 2.18-2.24
12 O 0.7806 0.7806 0.7806  3 Zr 2.13
13 O 0.7822 0.2703 0.2703  3 Zr 2.18-2.24

Spin magnetization (μB/atom): 0.000
Space group: No. 166
Uncorrected formation energy (eV/atom): -2.984



Density functional theory data (PBE) for a relaxed Ba6ZrO8 crystal.

a = 7.7121 Å, b = 7.7121 Å, c = 7.7121 Å
α = 60.00°, β = 60.00°, γ = 60.00°
Closest atoms and distances in Å follow each position.
Fractional coordinates of all 15 atoms:
1 Ba 0.0000 0.0000 0.5000  6 O 2.73-2.78
2 Ba 0.0000 0.5000 0.0000  6 O 2.73-2.78
3 Ba 0.0000 0.5000 0.5000  6 O 2.73-2.78
4 Ba 0.5000 0.0000 0.0000  6 O 2.73-2.78
5 Ba 0.5000 0.0000 0.5000  6 O 2.73-2.78
6 Ba 0.5000 0.5000 0.0000  6 O 2.73-2.78
7 Zr 0.0000 0.0000 0.0000  6 O 2.19
8 O 0.2010 0.2010 0.7990  1 Zr 2.19
9 O 0.2010 0.7990 0.2010  1 Zr 2.19
10 O 0.2010 0.7990 0.7990  1 Zr 2.19
11 O 0.2500 0.2500 0.2500  6 Ba 2.73
12 O 0.7500 0.7500 0.7500  6 Ba 2.73
13 O 0.7990 0.2010 0.2010  1 Zr 2.19
14 O 0.7990 0.2010 0.7990  1 Zr 2.19
15 O 0.7990 0.7990 0.2010  1 Zr 2.19

Spin magnetization (μB/atom): 0.000
Space group: No. 225
Uncorrected formation energy (eV/atom): -2.685



Density functional theory data (PBE) for a relaxed BaZrO3 crystal.

a = 4.2082 Å, b = 4.2082 Å, c = 9.2853 Å
α = 90.00°, β = 90.00°, γ = 120.00°
Closest atoms and distances in Å follow each position.
Fractional coordinates of all 10 atoms:
1 Ba 0.3333 0.6667 0.2500  3 O 2.43
2 Ba 0.6667 0.3333 0.7500  3 O 2.43
3 Zr 0.0000 0.0000 0.0000  8 O 2.32-2.47
4 Zr 0.0000 0.0000 0.5000  8 O 2.32-2.47
5 O 0.0000 0.0000 0.2500  2 Zr 2.32, 3 Ba 2.43
6 O 0.0000 0.0000 0.7500  2 Zr 2.32, 3 Ba 2.43
7 O 0.3333 0.6667 0.5449  3 Zr 2.47, 3 O 2.57, 1 Ba 2.74
8 O 0.3333 0.6667 0.9551  3 Zr 2.47, 3 O 2.57, 1 Ba 2.74
9 O 0.6667 0.3333 0.0449  3 Zr 2.47, 3 O 2.57, 1 Ba 2.74
10 O 0.6667 0.3333 0.4551  3 Zr 2.47, 3 O 2.57, 1 Ba 2.74

Spin magnetization (μB/atom): 0.000
Space group: No. 194
Uncorrected formation energy (eV/atom): -2.363



Density functional theory data (PBE) for a relaxed BaZrO3 crystal.

a = 7.8308 Å, b = 7.8308 Å, c = 7.8308 Å
α = 60.00°, β = 60.00°, γ = 60.00°
Closest atoms and distances in Å follow each position.
Fractional coordinates of all 20 atoms:
1 Ba 0.0000 0.0000 0.0000  6 O 2.73
2 Ba 0.0000 0.0000 0.5000  6 O 2.73
3 Ba 0.0000 0.5000 0.0000  6 O 2.73
4 Ba 0.5000 0.0000 0.0000  6 O 2.73
5 Zr 0.0000 0.5000 0.5000  6 O 2.14
6 Zr 0.5000 0.0000 0.5000  6 O 2.14
7 Zr 0.5000 0.5000 0.0000  6 O 2.14
8 Zr 0.5000 0.5000 0.5000  6 O 2.14
9 O 0.1718 0.1718 0.5782  2 Zr 2.14
10 O 0.1718 0.5782 0.1718  2 Zr 2.14
11 O 0.1718 0.5782 0.5782  2 Zr 2.14
12 O 0.4218 0.4218 0.8282  2 Zr 2.14
13 O 0.4218 0.8282 0.4218  2 Zr 2.14
14 O 0.4218 0.8282 0.8282  2 Zr 2.14
15 O 0.5782 0.1718 0.1718  2 Zr 2.14
16 O 0.5782 0.1718 0.5782  2 Zr 2.14
17 O 0.5782 0.5782 0.1718  2 Zr 2.14
18 O 0.8282 0.4218 0.4218  2 Zr 2.14
19 O 0.8282 0.4218 0.8282  2 Zr 2.14
20 O 0.8282 0.8282 0.4218  2 Zr 2.14

Spin magnetization (μB/atom): 0.000
Space group: No. 227
Uncorrected formation energy (eV/atom): -2.931



Density functional theory data (PBE) for a relaxed BaZrO3 crystal.

a = 7.5826 Å, b = 7.5826 Å, c = 7.5826 Å
α = 141.39°, β = 141.39°, γ = 55.74°
Closest atoms and distances in Å follow each position.
Fractional coordinates of all 10 atoms:
1 Ba 0.1168 0.1168 0.0000  6 O 2.74-2.87
2 Ba 0.8832 0.8832 0.0000  6 O 2.74-2.87
3 Zr 0.5000 0.5000 0.0000  4 O 2.25
4 Zr 0.7500 0.2500 0.5000  4 O 1.96
5 O 0.0341 0.5341 0.5000  2 Zr 2.55, 2 Ba 2.74, 2 O 2.75
6 O 0.1251 0.3558 0.7693  1 Zr 1.96
7 O 0.4659 0.9659 0.5000  2 Zr 2.55, 2 Ba 2.74, 2 O 2.75
8 O 0.5864 0.3558 0.2307  1 Zr 1.96
9 O 0.6442 0.4136 0.7693  1 Zr 1.96
10 O 0.6442 0.8749 0.2307  1 Zr 1.96

Spin magnetization (μB/atom): 0.000
Space group: No. 119
Uncorrected formation energy (eV/atom): -2.302



Density functional theory data (PBE) for a relaxed Ba3Zr5O12 crystal.

a = 12.0982 Å, b = 12.0982 Å, c = 12.0982 Å
α = 109.47°, β = 109.47°, γ = 109.47°
Closest atoms and distances in Å follow each position.
Fractional coordinates of all 80 atoms:
1 Ba 0.1250 0.2500 0.3750  8 O 2.76-2.95
2 Ba 0.1250 0.3750 0.7500  8 O 2.76-2.95
3 Ba 0.2500 0.3750 0.1250  8 O 2.76-2.95
4 Ba 0.2500 0.8750 0.6250  8 O 2.76-2.95
5 Ba 0.3750 0.1250 0.2500  8 O 2.76-2.95
6 Ba 0.3750 0.7500 0.1250  8 O 2.76-2.95
7 Ba 0.6250 0.2500 0.8750  8 O 2.76-2.95
8 Ba 0.6250 0.8750 0.7500  8 O 2.76-2.95
9 Ba 0.7500 0.1250 0.3750  8 O 2.76-2.95
10 Ba 0.7500 0.6250 0.8750  8 O 2.76-2.95
11 Ba 0.8750 0.6250 0.2500  8 O 2.76-2.95
12 Ba 0.8750 0.7500 0.6250  8 O 2.76-2.95
13 Zr 0.0000 0.0000 0.0000  6 O 2.17
14 Zr 0.0000 0.0000 0.5000  6 O 2.17
15 Zr 0.0000 0.5000 0.0000  6 O 2.17
16 Zr 0.0000 0.5000 0.5000  6 O 2.17
17 Zr 0.1250 0.7500 0.8750  4 O 2.02
18 Zr 0.1250 0.8750 0.2500  4 O 2.02
19 Zr 0.2500 0.1250 0.8750  4 O 2.02
20 Zr 0.2500 0.6250 0.3750  4 O 2.02
21 Zr 0.3750 0.2500 0.6250  4 O 2.02
22 Zr 0.3750 0.6250 0.7500  4 O 2.02
23 Zr 0.5000 0.0000 0.0000  6 O 2.17
24 Zr 0.5000 0.0000 0.5000  6 O 2.17
25 Zr 0.5000 0.5000 0.0000  6 O 2.17
26 Zr 0.5000 0.5000 0.5000  6 O 2.17
27 Zr 0.6250 0.3750 0.2500  4 O 2.02
28 Zr 0.6250 0.7500 0.3750  4 O 2.02
29 Zr 0.7500 0.3750 0.6250  4 O 2.02
30 Zr 0.7500 0.8750 0.1250  4 O 2.02
31 Zr 0.8750 0.1250 0.7500  4 O 2.02
32 Zr 0.8750 0.2500 0.1250  4 O 2.02
33 O 0.0069 0.1879 0.1085  2 Zr 2.02-2.17
34 O 0.0069 0.3190 0.8984  2 Zr 2.02-2.17
35 O 0.0794 0.6879 0.6810  2 Zr 2.02-2.17
36 O 0.0794 0.8915 0.3984  2 Zr 2.02-2.17
37 O 0.1016 0.6085 0.4206  2 Zr 2.02-2.17
38 O 0.1016 0.9931 0.6810  2 Zr 2.02-2.17
39 O 0.1085 0.0069 0.1879  2 Zr 2.02-2.17
40 O 0.1085 0.6016 0.9206  2 Zr 2.02-2.17
41 O 0.1810 0.1879 0.5794  2 Zr 2.02-2.17
42 O 0.1810 0.4931 0.6016  2 Zr 2.02-2.17
43 O 0.1879 0.1085 0.0069  2 Zr 2.02-2.17
44 O 0.1879 0.5794 0.1810  2 Zr 2.02-2.17
45 O 0.3121 0.3190 0.9206  2 Zr 2.02-2.17
46 O 0.3121 0.4931 0.3915  2 Zr 2.02-2.17
47 O 0.3190 0.8984 0.0069  2 Zr 2.02-2.17
48 O 0.3190 0.9206 0.3121  2 Zr 2.02-2.17
49 O 0.3915 0.3121 0.4931  2 Zr 2.02-2.17
50 O 0.3915 0.5794 0.8984  2 Zr 2.02-2.17
51 O 0.3984 0.0794 0.8915  2 Zr 2.02-2.17
52 O 0.3984 0.8190 0.5069  2 Zr 2.02-2.17
53 O 0.4206 0.1016 0.6085  2 Zr 2.02-2.17
54 O 0.4206 0.8190 0.8121  2 Zr 2.02-2.17
55 O 0.4931 0.3915 0.3121  2 Zr 2.02-2.17
56 O 0.4931 0.6016 0.1810  2 Zr 2.02-2.17
57 O 0.5069 0.3984 0.8190  2 Zr 2.02-2.17
58 O 0.5069 0.6085 0.6879  2 Zr 2.02-2.17
59 O 0.5794 0.1810 0.1879  2 Zr 2.02-2.17
60 O 0.5794 0.8984 0.3915  2 Zr 2.02-2.17
61 O 0.6016 0.1810 0.4931  2 Zr 2.02-2.17
62 O 0.6016 0.9206 0.1085  2 Zr 2.02-2.17
63 O 0.6085 0.4206 0.1016  2 Zr 2.02-2.17
64 O 0.6085 0.6879 0.5069  2 Zr 2.02-2.17
65 O 0.6810 0.0794 0.6879  2 Zr 2.02-2.17
66 O 0.6810 0.1016 0.9931  2 Zr 2.02-2.17
67 O 0.6879 0.5069 0.6085  2 Zr 2.02-2.17
68 O 0.6879 0.6810 0.0794  2 Zr 2.02-2.17
69 O 0.8121 0.4206 0.8190  2 Zr 2.02-2.17
70 O 0.8121 0.8915 0.9931  2 Zr 2.02-2.17
71 O 0.8190 0.5069 0.3984  2 Zr 2.02-2.17
72 O 0.8190 0.8121 0.4206  2 Zr 2.02-2.17
73 O 0.8915 0.3984 0.0794  2 Zr 2.02-2.17
74 O 0.8915 0.9931 0.8121  2 Zr 2.02-2.17
75 O 0.8984 0.0069 0.3190  2 Zr 2.02-2.17
76 O 0.8984 0.3915 0.5794  2 Zr 2.02-2.17
77 O 0.9206 0.1085 0.6016  2 Zr 2.02-2.17
78 O 0.9206 0.3121 0.3190  2 Zr 2.02-2.17
79 O 0.9931 0.6810 0.1016  2 Zr 2.02-2.17
80 O 0.9931 0.8121 0.8915  2 Zr 2.02-2.17

Spin magnetization (μB/atom): 0.002
Space group: No. 230
Uncorrected formation energy (eV/atom): -3.004



Density functional theory data (PBE) for a relaxed BaZrO3 crystal.

a = 7.9068 Å, b = 7.9068 Å, c = 5.6850 Å
α = 92.41°, β = 92.41°, γ = 85.03°
Closest atoms and distances in Å follow each position.
Fractional coordinates of all 20 atoms:
1 Ba 0.1024 0.3181 0.2906  5 O 2.57-2.84
2 Ba 0.3181 0.1024 0.7906  5 O 2.57-2.84
3 Ba 0.6819 0.8976 0.2094  5 O 2.57-2.84
4 Ba 0.8976 0.6819 0.7094  5 O 2.57-2.84
5 Zr 0.2429 0.7571 0.2500  4 O 1.99-2.15
6 Zr 0.4204 0.5796 0.7500  6 O 2.07-2.20
7 Zr 0.5796 0.4204 0.2500  6 O 2.07-2.20
8 Zr 0.7571 0.2429 0.7500  4 O 1.99-2.15
9 O 0.0014 0.7502 0.1402  1 Zr 1.99
10 O 0.1957 0.6124 0.5493  2 Zr 2.07-2.15
11 O 0.2498 0.9986 0.3598  1 Zr 1.99
12 O 0.3328 0.4790 0.0648  2 Zr 2.15-2.20
13 O 0.3876 0.8043 0.9507  2 Zr 2.07-2.15
14 O 0.4790 0.3328 0.5648  2 Zr 2.15-2.20
15 O 0.5210 0.6672 0.4352  2 Zr 2.15-2.20
16 O 0.6124 0.1957 0.0493  2 Zr 2.07-2.15
17 O 0.6672 0.5210 0.9352  2 Zr 2.15-2.20
18 O 0.7502 0.0014 0.6402  1 Zr 1.99
19 O 0.8043 0.3876 0.4507  2 Zr 2.07-2.15
20 O 0.9986 0.2498 0.8598  1 Zr 1.99

Spin magnetization (μB/atom): 0.002
Space group: No. 15
Uncorrected formation energy (eV/atom): -3.092



Density functional theory data (PBE) for a relaxed BaZrO3 crystal.

a = 3.8621 Å, b = 3.8621 Å, c = 13.8330 Å
α = 90.00°, β = 90.00°, γ = 120.00°
Closest atoms and distances in Å follow each position.
Fractional coordinates of all 10 atoms:
1 Ba 0.0000 0.0000 0.0000  6 O 2.66
2 Ba 0.0000 0.0000 0.5000  6 O 2.66
3 Zr 0.3333 0.6667 0.2500  5 O 2.00-2.23
4 Zr 0.6667 0.3333 0.7500  5 O 2.00-2.23
5 O 0.0000 0.0000 0.2500  3 Zr 2.23
6 O 0.0000 0.0000 0.7500  3 Zr 2.23
7 O 0.3333 0.6667 0.1052  1 Zr 2.00
8 O 0.3333 0.6667 0.3948  1 Zr 2.00
9 O 0.6667 0.3333 0.6052  1 Zr 2.00
10 O 0.6667 0.3333 0.8948  1 Zr 2.00

Spin magnetization (μB/atom): 0.000
Space group: No. 194
Uncorrected formation energy (eV/atom): -2.874



Density functional theory data (PBE) for a relaxed BaZr3O crystal.

a = 4.7394 Å, b = 4.7394 Å, c = 4.7394 Å
α = 90.00°, β = 90.00°, γ = 90.00°
Closest atoms and distances in Å follow each position.
Fractional coordinates of all 5 atoms:
1 Ba 0.0000 0.0000 0.0000  12 Zr 3.35
2 Zr 0.0000 0.5000 0.5000  2 O 2.37
3 Zr 0.5000 0.0000 0.5000  2 O 2.37
4 Zr 0.5000 0.5000 0.0000  2 O 2.37
5 O 0.5000 0.5000 0.5000  6 Zr 2.37

Spin magnetization (μB/atom): 0.000
Space group: No. 221
E above lowest polymorph (meV/atom): 0
Uncorrected formation energy (eV/atom): -0.448



Density functional theory data (PBE) for a relaxed BaZrO3 crystal.

a = 6.4673 Å, b = 4.2999 Å, c = 6.2002 Å
α = 90.00°, β = 90.00°, γ = 90.00°
Closest atoms and distances in Å follow each position.
Fractional coordinates of all 10 atoms:
1 Ba 0.2500 0.0000 0.2504  3 O 2.55-2.82
2 Ba 0.7500 0.0000 0.7496  3 O 2.55-2.82
3 Zr 0.2500 0.5000 0.7123  5 O 1.96-2.15
4 Zr 0.7500 0.5000 0.2877  5 O 1.96-2.15
5 O 0.0000 0.5000 0.5000  2 Zr 2.08
6 O 0.2500 0.0000 0.7059  2 Zr 2.15
7 O 0.2500 0.5000 0.0287  1 Zr 1.96
8 O 0.5000 0.5000 0.5000  2 Zr 2.08
9 O 0.7500 0.0000 0.2941  2 Zr 2.15
10 O 0.7500 0.5000 0.9713  1 Zr 1.96

Spin magnetization (μB/atom): 0.000
Space group: No. 51
Uncorrected formation energy (eV/atom): -3.021